{
  "formula": "PrCuRh",
  "functional": "PBE",
  "state": "optimized geometry",
  "e_above_lowest_polymorph_mev_per_atom": 70,
  "e_form_ev_per_atom": -0.379,
  "total_magnetization_mub_per_fu": 0.00,
  "cell": [[4.052, 0.000, 0.000], [0.000, 4.051, -0.064], [-2.026, -1.902, 7.729]],
  "species": ["Pr", "Pr", "Cu", "Cu", "Rh", "Rh"],
  "frac_coords": [[0.166, 0.665, 0.331], [0.416, 0.414, 0.831], [0.751, 0.250, 0.503], [0.001, 0.000, 0.003], [0.591, 0.091, 0.182], [0.841, 0.839, 0.682]]
}